[1]
Here is an optimized crystal structure of CrInSb3 from the Alexandria database. Energies are from PBE.

abc: 5.141 5.141 5.141
angles: 90.00 90.00 90.00
Site moments in Bohr magnetons follow the coordinates.
Element x y z (fractional)
1 Sb 0.000 0.500 0.000  -0.09
2 Sb 0.000 0.000 0.500  -0.06
3 Sb 0.500 0.000 0.000  -0.13
4 Cr 0.000 0.000 0.000  1.76
5 In 0.500 0.500 0.500  0.00

Output
- Energy relative to the lowest polymorph listed for this composition: 0.000 eV/atom
- Total moment: 1.35 μB/f.u.
- ΔE_f (raw): 0.36 eV per atom

[2]
Here is an optimized crystal structure of Mn2AgW from the Alexandria database. Energies are from PBE.

abc: 3.999 2.706 5.791
angles: 69.55 90.00 90.00
Site moments in Bohr magnetons follow the coordinates.
Element x y z (fractional)
1 Ag 0.500 0.739 0.763  0.00
2 Mn 0.000 0.033 0.018  2.82
3 Mn 0.500 0.262 0.256  1.62
4 W 0.000 0.465 0.463  -0.47

Output
- Energy relative to the lowest polymorph listed for this composition: 0.146 eV/atom
- Total moment: 4.01 μB/f.u.
- DFT formation energy: 45.3 kJ per mole of atoms

[3]
Here is an optimized crystal structure of MgVAuC from the Alexandria database. Energies are from PBE.

abc: 3.084 3.084 6.774
angles: 90.00 90.00 120.00
Element x y z (fractional)
1 Mg 0.000 0.000 0.147
2 Au 0.667 0.333 0.818
3 C 0.667 0.333 0.365
4 V 0.333 0.667 0.488

Output
- Energy relative to the lowest polymorph listed for this composition: 0.008 eV/atom
- Total moment: 0.00 μB/f.u.
- DFT formation energy: -12.9 kJ per mole of atoms

[4]
Here is an optimized crystal structure of Pm2PuMg from the Alexandria database. Energies are from PBE.

abc: 3.395 3.395 12.454
angles: 82.17 82.17 60.00
Site moments in Bohr magnetons follow the coordinates.
Element x y z (fractional)
1 Mg 0.500 0.500 0.500  0.00
2 Pm 0.090 0.090 0.731  0.03
3 Pm 0.910 0.910 0.269  0.03
4 Pu 0.000 0.000 0.000  5.75

Output
- Energy relative to the lowest polymorph listed for this composition: 0.228 eV/atom
- Total moment: 6.31 μB/f.u.
- DFT formation energy: 28.1 kJ per mole of atoms

[5]
Here is an optimized crystal structure of Dy3SiS6 from the Alexandria database. Energies are from PBE.

abc: 6.442 8.477 8.477
angles: 102.14 90.00 90.00
Element x y z (fractional)
1 Dy 0.485 0.913 0.723
2 Dy 0.985 0.723 0.913
3 Dy 0.388 0.407 0.593
4 Dy 0.888 0.593 0.407
5 Dy 0.985 0.087 0.277
6 Dy 0.485 0.277 0.087
7 Si 0.029 0.202 0.798
8 Si 0.529 0.798 0.202
9 S 0.187 0.697 0.627
10 S 0.687 0.627 0.697
11 S 0.190 0.426 0.896
12 S 0.690 0.896 0.426
13 S 0.150 0.046 0.954
14 S 0.694 0.212 0.788
15 S 0.194 0.788 0.212
16 S 0.650 0.954 0.046
17 S 0.190 0.104 0.574
18 S 0.690 0.574 0.104
19 S 0.187 0.373 0.303
20 S 0.687 0.303 0.373

Output
- Total moment: 0.00 μB/f.u.
- ΔE_f (raw): -1.61 eV per atom

[6]
Here is an optimized crystal structure of Cu3Se5 from the Alexandria database. Energies are from PBE.

abc: 9.143 9.143 3.608
angles: 90.00 90.00 136.36
Element x y z (fractional)
1 Cu 0.500 0.500 0.000
2 Cu 0.750 0.250 0.500
3 Cu 0.250 0.750 0.500
4 Se 0.000 0.000 0.000
5 Se 0.000 0.500 0.000
6 Se 0.500 0.000 0.000
7 Se 0.272 0.272 0.500
8 Se 0.728 0.728 0.500

Output
- Energy relative to the lowest polymorph listed for this composition: 0.163 eV/atom
- Total moment: 0.00 μB/f.u.
- ΔE_f (raw): 0.21 eV per atom

[7]
Here is an optimized crystal structure of MgRhCl from the Alexandria database. Energies are from PBE.

abc: 3.106 3.106 12.125
angles: 89.98 90.02 90.00
Element x y z (fractional)
1 Mg 0.261 0.388 0.521
2 Mg 0.762 0.888 0.961
3 Rh 0.261 0.389 0.799
4 Rh 0.761 0.889 0.683
5 Cl 0.262 0.387 0.078
6 Cl 0.761 0.888 0.403

Output
- Energy relative to the lowest polymorph listed for this composition: 0.020 eV/atom
- Total moment: 0.00 μB/f.u.
- ΔE_f (raw): -0.69 eV per atom

[8]
Here is an optimized crystal structure of AcTb2Dy from the Alexandria database. Energies are from PBE.

abc: 3.678 3.678 20.601
angles: 90.00 90.02 90.00
Element x y z (fractional)
1 Ac 0.250 0.250 0.426
2 Ac 0.750 0.750 0.574
3 Tb 0.250 0.250 0.706
4 Tb 0.750 0.750 0.294
5 Tb 0.250 0.250 0.941
6 Tb 0.750 0.750 0.059
7 Dy 0.251 0.250 0.177
8 Dy 0.749 0.750 0.823

Output
- Energy relative to the lowest polymorph listed for this composition: 0.000 eV/atom
- Total moment: 0.00 μB/f.u.
- DFT formation energy: 5.1 kJ per mole of atoms

[9]
Here is an optimized crystal structure of LaNd5Ho4 from the Alexandria database. Energies are from PBE.

abc: 3.638 10.245 9.574
angles: 106.13 79.06 90.01
Element x y z (fractional)
1 La 0.500 0.000 0.000
2 Nd 0.299 0.600 0.400
3 Nd 0.898 0.803 0.204
4 Nd 0.102 0.197 0.796
5 Nd 0.500 0.500 0.000
6 Nd 0.701 0.400 0.600
7 Ho 0.300 0.100 0.400
8 Ho 0.898 0.299 0.203
9 Ho 0.700 0.900 0.600
10 Ho 0.102 0.701 0.797

Output
- Energy relative to the lowest polymorph listed for this composition: 0.000 eV/atom
- Total moment: 0.00 μB/f.u.
- DFT formation energy: 1.6 kJ per mole of atoms

[10]
Here is an optimized crystal structure of TaReRu2 from the Alexandria database. Energies are from PBE.

abc: 9.284 9.284 9.284
angles: 17.21 17.21 17.21
Element x y z (fractional)
1 Re 0.250 0.250 0.250
2 Ru 0.996 0.996 0.996
3 Ru 0.504 0.504 0.504
4 Ta 0.750 0.750 0.750

Output
- Energy relative to the lowest polymorph listed for this composition: 0.189 eV/atom
- Total moment: 0.00 μB/f.u.
- DFT formation energy: 7.6 kJ per mole of atoms

[11]
Here is an optimized crystal structure of PdPt5Se12 from the Alexandria database. Energies are from PBE.

abc: 6.509 6.512 11.886
angles: 84.86 79.68 60.01
Element x y z (fractional)
1 Pd 0.000 0.000 0.000
2 Pt 0.500 0.000 0.500
3 Pt 0.167 0.667 0.500
4 Pt 0.833 0.333 0.500
5 Pt 0.667 0.667 0.000
6 Pt 0.333 0.333 0.000
7 Se 0.870 0.000 0.388
8 Se 0.130 0.000 0.612
9 Se 0.703 0.000 0.888
10 Se 0.297 0.000 0.112
11 Se 0.370 0.666 0.888
12 Se 0.963 0.666 0.112
13 Se 0.037 0.334 0.888
14 Se 0.630 0.334 0.112
15 Se 0.463 0.333 0.612
16 Se 0.797 0.667 0.612
17 Se 0.203 0.333 0.388
18 Se 0.537 0.667 0.388

Output
- Total moment: 0.00 μB/f.u.
- ΔE_f (raw): -0.38 eV per atom

[12]
Here is an optimized crystal structure of MnBeSb2 from the Alexandria database. Energies are from PBE.

abc: 5.933 5.933 5.933
angles: 141.96 141.96 54.89
Site moments in Bohr magnetons follow the coordinates.
Element x y z (fractional)
1 Sb 0.000 0.000 0.000  -0.01
2 Sb 0.250 0.750 0.500  -0.05
3 Mn 0.750 0.250 0.500  3.64
4 Be 0.500 0.500 0.000  -0.01

Output
- Total moment: 3.74 μB/f.u.
- ΔE_f (raw): 0.48 eV per atom

Ordered volume results: 136; 59; 56; 123; 453; 208; 117; 279; 336; 61; 429; 79; unit Å³/cell.